Entry 1:
The following is a DFT calculation (PBE) of a relaxed structure of CuSnTeO5.

Output
The value obtained for the magnetic moment is 1.99 Bohr magnetons per cell. The calculated total energy comes out at -5.419 eV/atom.

Lattice parameters (Å, degrees): 5.9779 5.9779 8.2046 108.10 108.10 109.30
With the nearest neighbours (Å) after each atom.
Positions (direct):
O1 0.1901 0.4023 0.5668  1 Te 1.92, 1 Sn 2.09
O2 0.0631 0.9369 0.2500  1 Cu 2.02, 2 Sn 2.14
O3 0.9934 0.3702 0.1238  1 Cu 1.90, 1 Te 2.13
Cu1 0.2707 0.7293 0.2500  3 O 1.90-2.02
O4 0.3702 0.9934 0.6238  1 Cu 1.90, 1 Te 2.13
O5 0.9369 0.0631 0.7500  1 Cu 2.02, 2 Sn 2.14
O6 0.6298 0.0066 0.3762  1 Cu 1.90, 1 Te 2.13
Te1 0.2594 0.7406 0.7500  4 O 1.92-2.13
Te2 0.7406 0.2594 0.2500  4 O 1.92-2.13
Sn1 0.0000 0.0000 0.5000  6 O 2.09-2.15
Cu2 0.7293 0.2707 0.7500  3 O 1.90-2.02
O7 0.8099 0.5977 0.4332  1 Te 1.92, 1 Sn 2.09
O8 0.5977 0.8099 0.9332  1 Te 1.92, 1 Sn 2.09
O9 0.0066 0.6298 0.8762  1 Cu 1.90, 1 Te 2.13
O10 0.4023 0.1901 0.0668  1 Te 1.92, 1 Sn 2.09
Sn2 0.0000 0.0000 0.0000  6 O 2.09-2.15



Entry 2:
The following is a DFT calculation (PBE) of a relaxed structure of Mg3Ga3Ru2.

Output
As for the calculated formation energy: -0.21 eV per atom. The value obtained for the magnetic moment is 0.00 Bohr magnetons per cell.

Lattice parameters (Å, degrees): 3.0463 7.1361 7.1361 120.00 90.00 90.00
With the nearest neighbours (Å) after each atom.
Positions (direct):
Mg1 0.0000 0.7577 0.7577  2 Ru 2.76, 6 Ga 2.87-3.01, 4 Mg 2.99-3.05
Mg2 0.0000 0.2423 0.0000  2 Ru 2.76, 6 Ga 2.87-3.01, 4 Mg 2.99-3.05
Ru1 0.0000 0.6667 0.3333  6 Ga 2.63, 3 Mg 2.76
Ru2 0.0000 0.3333 0.6667  6 Ga 2.63, 3 Mg 2.76
Ga1 0.5000 0.5825 0.0000  4 Ru 2.63, 2 Mg 2.87
Mg3 0.0000 0.0000 0.2423  2 Ru 2.76, 6 Ga 2.87-3.01, 4 Mg 2.99-3.05
Ga2 0.5000 0.4175 0.4175  4 Ru 2.63, 2 Mg 2.87
Ga3 0.5000 0.0000 0.5825  4 Ru 2.63, 2 Mg 2.87



Entry 3:
The following is a DFT calculation (PBE) of a relaxed structure of Sm2Ho2Hg.

Output
For the energy above the lowest structure with this stoichiometry, the calculation gives 0.0000 eV per atom. As for the calculated formation energy: -0.18 eV per atom. The value obtained for the magnetic moment is 0.03 Bohr magnetons per cell.

Lattice parameters (Å, degrees): 3.5997 3.5997 11.8410 98.74 98.74 90.00
With the nearest neighbours (Å) after each atom.
Positions (direct):
Sm1 0.1942 0.1942 0.3885  4 Ho 3.58, 8 Sm 3.60-3.62
Sm2 0.8058 0.8058 0.6115  4 Ho 3.58, 8 Sm 3.60-3.62
Ho1 0.4148 0.4148 0.8297  4 Hg 3.22, 4 Sm 3.58, 4 Ho 3.60
Hg1 0.0000 0.0000 0.0000  8 Ho 3.22, 4 Hg 3.60
Ho2 0.5852 0.5852 0.1703  4 Hg 3.22, 4 Sm 3.58, 4 Ho 3.60



Entry 4:
The following is a DFT calculation (PBE) of a relaxed structure of TaIn2Pb.

Output
As for the calculated formation energy: 0.37 eV per atom. The value obtained for the magnetic moment is 0.00 Bohr magnetons per cell.

Lattice parameters (Å, degrees): 5.8963 5.8963 5.5209 77.28 77.28 30.31
With the nearest neighbours (Å) after each atom.
Positions (direct):
In1 0.2652 0.2652 0.2036  5 In 3.07-3.31, 4 Ta 3.15-3.22, 1 Pb 3.42
Ta1 0.7302 0.7302 0.7127  6 In 2.98-3.22, 2 Ta 3.08, 3 Pb 3.14-3.20
In2 0.0280 0.0280 0.0286  2 Ta 2.98, 5 In 3.07-3.31, 4 Pb 3.20-3.22
Pb1 0.4766 0.4766 0.5551  2 Pb 3.08, 3 Ta 3.14-3.20, 5 In 3.20-3.42



Entry 5:
The following is a DFT calculation (PBE) of a relaxed structure of Sr2Bi2I.

Output
For the energy above the lowest structure with this stoichiometry, the calculation gives 0.0000 eV per atom. The value obtained for the magnetic moment is 0.00 Bohr magnetons per cell.

Lattice parameters (Å, degrees): 8.9987 8.9987 4.8079 90.00 90.00 90.00
With the nearest neighbours (Å) after each atom.
Positions (direct):
Bi1 0.8831 0.3831 0.5000  1 Bi 2.98
Sr1 0.6732 0.1732 0.0000  2 I 3.33, 6 Bi 3.58-3.59
I1 0.5000 0.5000 0.0000  4 Sr 3.33
Sr2 0.1732 0.3268 0.0000  2 I 3.33, 6 Bi 3.58-3.59
I2 0.0000 0.0000 0.0000  4 Sr 3.33
Sr3 0.3268 0.8268 0.0000  2 I 3.33, 6 Bi 3.58-3.59
Sr4 0.8268 0.6732 0.0000  2 I 3.33, 6 Bi 3.58-3.59
Bi2 0.6169 0.8831 0.5000  1 Bi 2.98
Bi3 0.1169 0.6169 0.5000  1 Bi 2.98
Bi4 0.3831 0.1169 0.5000  1 Bi 2.98



Entry 6:
The following is a DFT calculation (PBE) of a relaxed structure of K2TiAgF6.

Output
The value obtained for the magnetic moment is 1.98 Bohr magnetons per cell. The calculated total energy comes out at -5.086 eV/atom.

Lattice parameters (Å, degrees): 6.0870 6.3802 8.7823 90.00 90.00 90.00
With the nearest neighbours (Å) after each atom.
Positions (direct):
K1 0.0000 0.2276 0.2591  9 F 2.89-3.06
Ti1 0.5000 0.2340 0.5000  6 F 1.98-1.99
K2 0.5000 0.7724 0.7591  9 F 2.89-3.06
F1 0.5000 0.2235 0.2742  1 Ti 1.98
F2 0.0000 0.7765 0.2258  1 Ti 1.98
F3 0.2725 0.0093 0.5000  1 Ti 1.99
K3 0.5000 0.7724 0.2409  9 F 2.89-3.06
F4 0.0000 0.7765 0.7742  1 Ti 1.98
F5 0.2688 0.4527 0.5000  1 Ti 1.98
K4 0.0000 0.2276 0.7409  9 F 2.89-3.06
F6 0.5000 0.2235 0.7258  1 Ti 1.98
F7 0.7275 0.0093 0.5000  1 Ti 1.99
F8 0.2275 0.9907 0.0000  1 Ti 1.99
F9 0.7312 0.4527 0.5000  1 Ti 1.98
F10 0.2312 0.5473 0.0000  1 Ti 1.98
Ag1 0.5000 0.2705 0.0000  6 F 2.41-2.44
Ti2 0.0000 0.7660 0.0000  6 F 1.98-1.99
F11 0.7688 0.5473 0.0000  1 Ti 1.98
Ag2 0.0000 0.7295 0.5000  6 F 2.41-2.44
F12 0.7725 0.9907 0.0000  1 Ti 1.99



Entry 7:
The following is a DFT calculation (PBE) of a relaxed structure of RbCrSnIr2.

Output
As for the calculated formation energy: 1.66 eV per atom. The value obtained for the magnetic moment is 0.12 Bohr magnetons per cell.

Lattice parameters (Å, degrees): 5.0398 5.0652 5.0398 90.00 90.00 90.00
With the nearest neighbours (Å) after each atom.
Positions (direct):
Sn1 0.0000 0.0000 0.0000  4 Ir 2.52, 2 Cr 2.53
Rb1 0.5000 0.5000 0.5000  4 Cr 3.56, 8 Ir 3.57
Ir1 0.0000 0.0000 0.5000  2 Sn 2.52
Ir2 0.5000 0.0000 0.0000  2 Sn 2.52
Cr1 0.0000 0.5000 0.0000  2 Sn 2.53



Entry 8:
The following is a DFT calculation (PBE) of a relaxed structure of LaAlTeI2.

Output
For the energy above the lowest structure with this stoichiometry, the calculation gives 0.0000 eV per atom. The value obtained for the magnetic moment is 0.00 Bohr magnetons per cell.

Lattice parameters (Å, degrees): 6.2809 6.2809 6.1951 90.00 90.00 90.00
With the nearest neighbours (Å) after each atom.
Positions (direct):
Al1 0.5000 0.5000 0.5000  8 I 4.41, 4 Te 4.44
I1 0.0000 0.5000 0.0000  2 La 3.14
La1 0.0000 0.0000 0.0000  2 Te 3.10, 4 I 3.14
Te1 0.0000 0.0000 0.5000  2 La 3.10
I2 0.5000 0.0000 0.0000  2 La 3.14



Entry 9:
The following is a DFT calculation (PBE) of a relaxed structure of YSbP2.

Output
The value obtained for the magnetic moment is 0.00 Bohr magnetons per cell. The calculated total energy comes out at -5.660 eV/atom.

Lattice parameters (Å, degrees): 7.1828 7.1828 7.1828 31.97 31.97 31.97
With the nearest neighbours (Å) after each atom.
Positions (direct):
Sb1 0.5140 0.5140 0.5140  3 P 2.76
P1 0.9942 0.9942 0.9942  3 P 2.71, 3 Y 2.75
P2 0.2563 0.2563 0.2563  3 P 2.71, 3 Sb 2.76
Y1 0.7355 0.7355 0.7355  3 P 2.75



Entry 10:
The following is a DFT calculation (PBE) of a relaxed structure of Ta2IrBr.

Output
For the energy above the lowest structure with this stoichiometry, the calculation gives 0.3054 eV per atom. The value obtained for the magnetic moment is 0.00 Bohr magnetons per cell.

Lattice parameters (Å, degrees): 4.6022 4.6022 4.6022 60.00 60.00 60.00
With the nearest neighbours (Å) after each atom.
Positions (direct):
Ta1 0.2500 0.2500 0.2500  4 Ir 2.82, 4 Br 2.82
Ir1 0.5000 0.5000 0.5000  8 Ta 2.82
Ta2 0.7500 0.7500 0.7500  4 Ir 2.82, 4 Br 2.82
Br1 0.0000 0.0000 0.0000  8 Ta 2.82



Entry 11:
The following is a DFT calculation (PBE) of a relaxed structure of Zr2AlSi.

Output
For the energy above the lowest structure with this stoichiometry, the calculation gives 0.3968 eV per atom. The value obtained for the magnetic moment is 0.00 Bohr magnetons per cell.

Lattice parameters (Å, degrees): 5.1140 5.4253 5.5627 90.00 90.00 90.00
With the nearest neighbours (Å) after each atom.
Positions (direct):
Zr1 0.0000 0.7314 0.7500  4 Si 2.68-2.79, 2 Al 2.89
Zr2 0.5000 0.0000 0.0000  2 Zr 2.78, 2 Al 2.96
Si1 0.0000 0.7742 0.2500  4 Zr 2.68-2.79, 2 Al 2.91
Al1 0.5000 0.4813 0.7500  2 Al 2.79, 4 Zr 2.89-2.96, 2 Si 2.91
Al2 0.5000 0.5187 0.2500  2 Al 2.79, 4 Zr 2.89-2.96, 2 Si 2.91
Si2 0.0000 0.2258 0.7500  4 Zr 2.68-2.79, 2 Al 2.91
Zr3 0.0000 0.2686 0.2500  4 Si 2.68-2.79, 2 Al 2.89
Zr4 0.5000 0.0000 0.5000  2 Zr 2.78, 2 Al 2.96



Entry 12:
The following is a DFT calculation (PBE) of a relaxed structure of Pu2Ga2GeRh5.

Output
As for the calculated formation energy: -0.54 eV per atom. The value obtained for the magnetic moment is 21.06 Bohr magnetons per cell.

Lattice parameters (Å, degrees): 3.0505 10.5054 10.5054 90.00 90.00 90.00
With the nearest neighbours (Å) after each atom.
Positions (direct):
Rh1 0.5000 0.5000 0.0000  4 Ga 2.49
Ga1 0.0000 0.3675 0.1325  6 Rh 2.49-2.54
Ge1 0.0000 0.0000 0.0000  8 Rh 2.59
Rh2 0.5000 0.0502 0.8073  2 Ga 2.54, 2 Ge 2.59
Rh3 0.5000 0.5502 0.6927  2 Ga 2.54, 2 Ge 2.59
Ga2 0.0000 0.8675 0.3675  6 Rh 2.49-2.54
Rh4 0.5000 0.9498 0.1927  2 Ga 2.54, 2 Ge 2.59
Ga3 0.0000 0.6325 0.8675  6 Rh 2.49-2.54
Pu1 0.0000 0.8269 0.6731  1 Ga 2.89, 6 Rh 2.99-3.13, 2 Pu 3.05
Rh5 0.5000 0.0000 0.5000  4 Ga 2.49
Rh6 0.5000 0.3073 0.5502  2 Ga 2.54, 2 Ge 2.59
Pu2 0.0000 0.1731 0.3269  1 Ga 2.89, 6 Rh 2.99-3.13, 2 Pu 3.05
Rh7 0.5000 0.1927 0.0502  2 Ga 2.54, 2 Ge 2.59
Pu3 0.0000 0.3269 0.8269  1 Ga 2.89, 6 Rh 2.99-3.13, 2 Pu 3.05
Ga4 0.0000 0.1325 0.6325  6 Rh 2.49-2.54
Rh8 0.5000 0.4498 0.3073  2 Ga 2.54, 2 Ge 2.59
Ge2 0.0000 0.5000 0.5000  8 Rh 2.59
Pu4 0.0000 0.6731 0.1731  1 Ga 2.89, 6 Rh 2.99-3.13, 2 Pu 3.05
Rh9 0.5000 0.6927 0.4498  2 Ga 2.54, 2 Ge 2.59
Rh10 0.5000 0.8073 0.9498  2 Ga 2.54, 2 Ge 2.59